V2OF5 | PBE+U | relaxed

SG: No. 7
E above lowest polymorph, kJ/mol of formula units: 3

Cell lengths 5.420, 5.257, 7.617 Å; angles 90.00, 92.50, 90.00 degrees
Atoms (fractional coordinates):
V: 0.000 0.000 0.000
V: 0.000 0.000 0.500
V: 0.525 0.482 0.005
V: 0.525 0.518 0.505
O: 0.776 0.296 0.037
O: 0.776 0.704 0.537
F: 0.000 0.096 0.749
F: 0.000 0.904 0.249
F: 0.220 0.299 0.457
F: 0.220 0.701 0.957
F: 0.292 0.208 0.051
F: 0.292 0.792 0.551
F: 0.491 0.406 0.750
F: 0.491 0.594 0.250
F: 0.703 0.206 0.450
F: 0.703 0.794 0.950